# Cd2AgP (PBE, relaxed)
# Uncorrected energy (eV per atom): -2.325
# Density (g cm⁻³): 7.32
# DFT formation energy (eV/atom): 0.198
# Size of the total moment (μB/cell): 0.0
# Density of states at the Fermi level (states/eV/cell): 1.04
data_Cd2AgP
_chemical_formula_sum 'Cd2 Ag1 P1'
_cell_length_a 3.0899
_cell_length_b 4.0694
_cell_length_c 6.5603
_cell_angle_alpha 90.00
_cell_angle_beta 90.20
_cell_angle_gamma 90.00
_symmetry_space_group_name_H-M 'P 1'
_symmetry_Int_Tables_number 1
_symmetry_space_group_name_Hall 'P 1'
loop_
_atom_site_label
_atom_site_type_symbol
_atom_site_fract_x
_atom_site_fract_y
_atom_site_fract_z
Cd1 Cd 0.0029 0.0000 0.2365
Cd2 Cd 0.9971 0.0000 0.7635
Ag1 Ag 0.5000 0.5000 0.0000
P1 P 0.0000 0.5000 0.5000

# Y5SbSe4 (PBE, relaxed)
# Uncorrected energy (eV per atom): -6.681
# Density (g cm⁻³): 5.79
# Size of the total moment (μB/cell): 0.0
# Formation energy (no corrections) (eV per atom): -1.643
# Density of states at the Fermi level (states/eV/cell): 4.19
data_Y5SbSe4
_chemical_formula_sum 'Y5 Sb1 Se4'
_cell_length_a 10.9706
_cell_length_b 10.9706
_cell_length_c 10.9706
_cell_angle_alpha 158.14
_cell_angle_beta 148.97
_cell_angle_gamma 38.29
_symmetry_space_group_name_H-M 'P 1'
_symmetry_Int_Tables_number 1
_symmetry_space_group_name_Hall 'P 1'
loop_
_atom_site_label
_atom_site_type_symbol
_atom_site_fract_x
_atom_site_fract_y
_atom_site_fract_z
Y1 Y 0.0000 0.0000 0.0000
Y2 Y 0.1993 0.1993 0.0000
Y3 Y 0.3942 0.3942 0.0000
Y4 Y 0.6058 0.6058 0.0000
Y5 Y 0.8007 0.8007 0.0000
Sb1 Sb 0.5000 0.0000 0.5000
Se1 Se 0.1009 0.6009 0.5000
Se2 Se 0.2968 0.7968 0.5000
Se3 Se 0.7032 0.2032 0.5000
Se4 Se 0.8991 0.3991 0.5000

# Ba2NaCaHg (PBE, relaxed)
# Uncorrected energy (eV per atom): -1.616
# Density (g cm⁻³): 3.35
# DFT formation energy (eV/atom): -0.122
# Size of the total moment (μB/cell): 0.0
# E above lowest polymorph (meV/atom): 0
# Density of states at the Fermi level (states/eV/cell): 4.19
data_Ba2NaCaHg
_chemical_formula_sum 'Ba2 Na1 Ca1 Hg1'
_cell_length_a 6.6252
_cell_length_b 6.6252
_cell_length_c 6.0761
_cell_angle_alpha 90.00
_cell_angle_beta 90.00
_cell_angle_gamma 90.00
_symmetry_space_group_name_H-M 'P 1'
_symmetry_Int_Tables_number 1
_symmetry_space_group_name_Hall 'P 1'
loop_
_atom_site_label
_atom_site_type_symbol
_atom_site_fract_x
_atom_site_fract_y
_atom_site_fract_z
Ba1 Ba 0.0000 0.5000 0.0000
Ba2 Ba 0.5000 0.0000 0.0000
Na1 Na 0.0000 0.0000 0.5000
Ca1 Ca 0.5000 0.5000 0.5000
Hg1 Hg 0.5000 0.5000 0.0000

# CeDyTmCd (PBE, relaxed)
# Uncorrected energy (eV per atom): -3.973
# Density (g cm⁻³): 8.56
# DFT formation energy (eV/atom): 0.008
# Size of the total moment (μB/cell): 6.2
# Density of states at the Fermi level (states/eV/cell): 30.11
data_CeDyTmCd
_chemical_formula_sum 'Ce4 Dy4 Tm4 Cd4'
_cell_length_a 7.6800
_cell_length_b 7.6800
_cell_length_c 7.6800
_cell_angle_alpha 90.00
_cell_angle_beta 90.00
_cell_angle_gamma 90.00
_symmetry_space_group_name_H-M 'P 1'
_symmetry_Int_Tables_number 1
_symmetry_space_group_name_Hall 'P 1'
loop_
_atom_site_label
_atom_site_type_symbol
_atom_site_fract_x
_atom_site_fract_y
_atom_site_fract_z
Ce1 Ce 0.0000 0.0000 0.0000
Ce2 Ce 0.0000 0.5000 0.5000
Ce3 Ce 0.5000 0.0000 0.5000
Ce4 Ce 0.5000 0.5000 0.0000
Dy1 Dy 0.0000 0.0000 0.5000
Dy2 Dy 0.0000 0.5000 0.0000
Dy3 Dy 0.5000 0.0000 0.0000
Dy4 Dy 0.5000 0.5000 0.5000
Tm1 Tm 0.2500 0.2500 0.7500
Tm2 Tm 0.2500 0.7500 0.2500
Tm3 Tm 0.7500 0.2500 0.2500
Tm4 Tm 0.7500 0.7500 0.7500
Cd1 Cd 0.2500 0.2500 0.2500
Cd2 Cd 0.2500 0.7500 0.7500
Cd3 Cd 0.7500 0.2500 0.7500
Cd4 Cd 0.7500 0.7500 0.2500

Q: The highest density belongs to which entry?
A: CeDyTmCd

Q: Among the records above, which one has the highest size of the total moment?
A: CeDyTmCd

Q: Look up the density of the first one.
A: 7.32 g cm⁻³

Please write out number 4 again, unchanged.
# CeDyTmCd (PBE, relaxed)
# Uncorrected energy (eV per atom): -3.973
# Density (g cm⁻³): 8.56
# DFT formation energy (eV/atom): 0.008
# Size of the total moment (μB/cell): 6.2
# Density of states at the Fermi level (states/eV/cell): 30.11
data_CeDyTmCd
_chemical_formula_sum 'Ce4 Dy4 Tm4 Cd4'
_cell_length_a 7.6800
_cell_length_b 7.6800
_cell_length_c 7.6800
_cell_angle_alpha 90.00
_cell_angle_beta 90.00
_cell_angle_gamma 90.00
_symmetry_space_group_name_H-M 'P 1'
_symmetry_Int_Tables_number 1
_symmetry_space_group_name_Hall 'P 1'
loop_
_atom_site_label
_atom_site_type_symbol
_atom_site_fract_x
_atom_site_fract_y
_atom_site_fract_z
Ce1 Ce 0.0000 0.0000 0.0000
Ce2 Ce 0.0000 0.5000 0.5000
Ce3 Ce 0.5000 0.0000 0.5000
Ce4 Ce 0.5000 0.5000 0.0000
Dy1 Dy 0.0000 0.0000 0.5000
Dy2 Dy 0.0000 0.5000 0.0000
Dy3 Dy 0.5000 0.0000 0.0000
Dy4 Dy 0.5000 0.5000 0.5000
Tm1 Tm 0.2500 0.2500 0.7500
Tm2 Tm 0.2500 0.7500 0.2500
Tm3 Tm 0.7500 0.2500 0.2500
Tm4 Tm 0.7500 0.7500 0.7500
Cd1 Cd 0.2500 0.2500 0.2500
Cd2 Cd 0.2500 0.7500 0.7500
Cd3 Cd 0.7500 0.2500 0.7500
Cd4 Cd 0.7500 0.7500 0.2500